First-principles (GGA-PBE) data for crystalline InGaF2 at its relaxed geometry, as listed in the Alexandria database.

## Properties
crystal system = trigonal
magnetization = 0.00 μB/cell
raw formation energy = -1467 meV per atom
space group = No. 166
excess energy over the best structure of this formula in the dataset = 8.9 meV/atom

Lattice parameters (Å, degrees): 8.0870 8.0870 8.0870 23.14 23.14 23.14
Fractional positions:
1 Ga 0.5000 0.5000 0.5000
2 In 0.0000 0.0000 0.0000
3 F 0.0949 0.0949 0.0949
4 F 0.9051 0.9051 0.9051

---

First-principles (GGA-PBE) data for crystalline In3Ga5F12 at its relaxed geometry, as listed in the Alexandria database.

## Properties
crystal system = cubic
magnetization = 0.00 μB/cell
raw formation energy = -1884 meV per atom
space group = No. 230

Lattice parameters (Å, degrees): 12.8631 12.8631 12.8631 109.47 109.47 109.47
Fractional positions:
1 F 0.6122 0.9989 0.7168
2 F 0.3954 0.2821 0.2832
3 F 0.6122 0.6133 0.3954
4 F 0.6133 0.6122 0.8954
5 F 0.4989 0.7168 0.1122
6 F 0.3954 0.1133 0.6122
7 F 0.0011 0.3878 0.7832
8 F 0.1046 0.2168 0.2179
9 F 0.0011 0.6133 0.7179
10 F 0.6046 0.8867 0.3878
11 F 0.9989 0.6122 0.2168
12 F 0.3878 0.3867 0.6046
13 F 0.7168 0.2179 0.6046
14 F 0.8954 0.7832 0.7821
15 F 0.7821 0.4989 0.3867
16 F 0.8878 0.1046 0.8867
17 F 0.2168 0.1046 0.7179
18 F 0.1133 0.7179 0.5011
19 F 0.4989 0.7821 0.8867
20 F 0.2832 0.7821 0.3954
21 F 0.2168 0.1122 0.9989
22 F 0.3878 0.0011 0.2832
23 F 0.9989 0.3867 0.2821
24 F 0.2179 0.5011 0.6133
25 F 0.1133 0.3954 0.1122
26 F 0.5011 0.2832 0.8878
27 F 0.5011 0.2179 0.1133
28 F 0.8867 0.2821 0.4989
29 F 0.2821 0.3954 0.7832
30 F 0.8878 0.7832 0.5011
31 F 0.3867 0.9989 0.7821
32 F 0.7821 0.2832 0.8954
33 F 0.1122 0.8954 0.1133
34 F 0.1046 0.8878 0.3867
35 F 0.2179 0.7168 0.1046
36 F 0.7179 0.6046 0.2168
37 F 0.8867 0.6046 0.8878
38 F 0.7832 0.8954 0.2821
39 F 0.2832 0.5011 0.3878
40 F 0.3867 0.3878 0.1046
41 F 0.7179 0.1133 0.0011
42 F 0.8954 0.1122 0.6133
43 F 0.1122 0.2168 0.4989
44 F 0.6133 0.0011 0.2179
45 F 0.2821 0.8867 0.9989
46 F 0.7168 0.4989 0.6122
47 F 0.6046 0.7179 0.7168
48 F 0.7832 0.8878 0.0011
49 In 0.2500 0.6250 0.8750
50 In 0.1250 0.8750 0.7500
51 In 0.2500 0.1250 0.3750
52 In 0.6250 0.3750 0.7500
53 In 0.7500 0.3750 0.1250
54 In 0.6250 0.2500 0.3750
55 In 0.1250 0.2500 0.8750
56 In 0.8750 0.7500 0.1250
57 In 0.3750 0.7500 0.6250
58 In 0.7500 0.8750 0.6250
59 In 0.8750 0.1250 0.2500
60 In 0.3750 0.6250 0.2500
61 Ga 0.0000 0.0000 0.0000
62 Ga 0.2500 0.8750 0.1250
63 Ga 0.5000 0.5000 0.0000
64 Ga 0.3750 0.2500 0.1250
65 Ga 0.8750 0.2500 0.6250
66 Ga 0.7500 0.6250 0.3750
67 Ga 0.5000 0.5000 0.5000
68 Ga 0.6250 0.8750 0.2500
69 Ga 0.0000 0.5000 0.0000
70 Ga 0.8750 0.6250 0.7500
71 Ga 0.2500 0.3750 0.6250
72 Ga 0.0000 0.5000 0.5000
73 Ga 0.3750 0.1250 0.7500
74 Ga 0.5000 0.0000 0.0000
75 Ga 0.5000 0.0000 0.5000
76 Ga 0.1250 0.7500 0.3750
77 Ga 0.1250 0.3750 0.2500
78 Ga 0.0000 0.0000 0.5000
79 Ga 0.7500 0.1250 0.8750
80 Ga 0.6250 0.7500 0.8750

---

First-principles (GGA-PBE) data for crystalline In2GaF4 at its relaxed geometry, as listed in the Alexandria database.

## Properties
crystal system = tetragonal
magnetization = 0.00 μB/cell
raw formation energy = -1867 meV per atom
space group = No. 139

Lattice parameters (Å, degrees): 3.9188 3.9188 8.5487 76.75 76.75 90.00
Fractional positions:
1 In 0.7034 0.7034 0.5932
2 In 0.2966 0.2966 0.4068
3 Ga 0.0000 0.0000 0.0000
4 F 0.5000 0.0000 0.0000
5 F 0.8844 0.8844 0.2313
6 F 0.1156 0.1156 0.7687
7 F 0.0000 0.5000 0.0000